Material: TlVZn2
Method: DFT, PBE
State: optimized geometry

Properties
Formation energy from the elements ... 0.446 eV/atom
Space-group type ... Fm-3m, No. 225
E ... -3.06 eV/atom
Polymorph energy (0 for the lowest one) ... 0.0 meV per atom
Total magnetization ... 2.8 μB per formula unit

```
data_TlVZn2
_chemical_formula_sum 'Tl4 V4 Zn8'
_cell_length_a 6.5893
_cell_length_b 6.5893
_cell_length_c 6.5893
_cell_angle_alpha 90.00
_cell_angle_beta 90.00
_cell_angle_gamma 90.00
_symmetry_space_group_name_H-M 'P 1'
_symmetry_Int_Tables_number 1
_symmetry_space_group_name_Hall 'P 1'
loop_
_atom_site_label
_atom_site_type_symbol
_atom_site_fract_x
_atom_site_fract_y
_atom_site_fract_z
Tl1 Tl 0.0000 0.0000 0.0000
Tl2 Tl 0.0000 0.5000 0.5000
Tl3 Tl 0.5000 0.0000 0.5000
Tl4 Tl 0.5000 0.5000 0.0000
V1 V 0.0000 0.0000 0.5000
V2 V 0.0000 0.5000 0.0000
V3 V 0.5000 0.0000 0.0000
V4 V 0.5000 0.5000 0.5000
Zn1 Zn 0.2500 0.2500 0.2500
Zn2 Zn 0.2500 0.2500 0.7500
Zn3 Zn 0.2500 0.7500 0.2500
Zn4 Zn 0.2500 0.7500 0.7500
Zn5 Zn 0.7500 0.2500 0.2500
Zn6 Zn 0.7500 0.2500 0.7500
Zn7 Zn 0.7500 0.7500 0.2500
Zn8 Zn 0.7500 0.7500 0.7500
```

Material: Tl3VZn
Method: DFT, PBE
State: optimized geometry

Properties
Formation energy from the elements ... 0.829 eV/atom
Space-group type ... Pm-3m, No. 221
E ... -2.67 eV/atom
Polymorph energy (0 for the lowest one) ... 252.2 meV per atom
Total magnetization ... 4.0 μB per formula unit

```
data_Tl3VZn
_chemical_formula_sum 'Tl3 V1 Zn1'
_cell_length_a 5.2856
_cell_length_b 5.2856
_cell_length_c 5.2856
_cell_angle_alpha 90.00
_cell_angle_beta 90.00
_cell_angle_gamma 90.00
_symmetry_space_group_name_H-M 'P 1'
_symmetry_Int_Tables_number 1
_symmetry_space_group_name_Hall 'P 1'
loop_
_atom_site_label
_atom_site_type_symbol
_atom_site_fract_x
_atom_site_fract_y
_atom_site_fract_z
Tl1 Tl 0.0000 0.0000 0.5000
Tl2 Tl 0.0000 0.5000 0.0000
Tl3 Tl 0.5000 0.0000 0.0000
V1 V 0.5000 0.5000 0.5000
Zn1 Zn 0.0000 0.0000 0.0000
```

Material: TlV2Zn2
Method: DFT, PBE
State: optimized geometry

Properties
Formation energy from the elements ... 0.340 eV/atom
Space-group type ... P4/mbm, No. 127
E ... -4.29 eV/atom
Polymorph energy (0 for the lowest one) ... 0.0 meV per atom
Total magnetization ... 0.0 μB per formula unit

```
data_TlV2Zn2
_chemical_formula_sum 'Tl2 V4 Zn4'
_cell_length_a 7.3157
_cell_length_b 7.3157
_cell_length_c 3.1978
_cell_angle_alpha 90.00
_cell_angle_beta 90.00
_cell_angle_gamma 90.00
_symmetry_space_group_name_H-M 'P 1'
_symmetry_Int_Tables_number 1
_symmetry_space_group_name_Hall 'P 1'
loop_
_atom_site_label
_atom_site_type_symbol
_atom_site_fract_x
_atom_site_fract_y
_atom_site_fract_z
Tl1 Tl 0.0000 0.0000 0.0000
Tl2 Tl 0.5000 0.5000 0.0000
V1 V 0.0962 0.4038 0.0000
V2 V 0.4038 0.9038 0.0000
V3 V 0.5962 0.0962 0.0000
V4 V 0.9038 0.5962 0.0000
Zn1 Zn 0.1948 0.6948 0.5000
Zn2 Zn 0.3052 0.1948 0.5000
Zn3 Zn 0.6948 0.8052 0.5000
Zn4 Zn 0.8052 0.3052 0.5000
```

Material: TlV2Zn2
Method: DFT, PBE
State: optimized geometry

Properties
Formation energy from the elements ... 0.469 eV/atom
Space-group type ... I4/mmm, No. 139
E ... -4.16 eV/atom
Polymorph energy (0 for the lowest one) ... 129.0 meV per atom
Total magnetization ... 0.0 μB per formula unit

```
data_TlV2Zn2
_chemical_formula_sum 'Tl2 V4 Zn4'
_cell_length_a 3.5056
_cell_length_b 3.5056
_cell_length_c 14.7007
_cell_angle_alpha 90.00
_cell_angle_beta 90.00
_cell_angle_gamma 90.00
_symmetry_space_group_name_H-M 'P 1'
_symmetry_Int_Tables_number 1
_symmetry_space_group_name_Hall 'P 1'
loop_
_atom_site_label
_atom_site_type_symbol
_atom_site_fract_x
_atom_site_fract_y
_atom_site_fract_z
Tl1 Tl 0.0000 0.0000 0.0000
Tl2 Tl 0.5000 0.5000 0.5000
V1 V 0.0000 0.5000 0.2500
V2 V 0.0000 0.5000 0.7500
V3 V 0.5000 0.0000 0.2500
V4 V 0.5000 0.0000 0.7500
Zn1 Zn 0.0000 0.0000 0.3901
Zn2 Zn 0.0000 0.0000 0.6099
Zn3 Zn 0.5000 0.5000 0.1099
Zn4 Zn 0.5000 0.5000 0.8901
```

Material: TlVZn2
Method: DFT, PBE
State: optimized geometry

Properties
Formation energy from the elements ... 0.505 eV/atom
Space-group type ... I-42d, No. 122
E ... -3.00 eV/atom
Polymorph energy (0 for the lowest one) ... 58.5 meV per atom
Total magnetization ... 2.1 μB per formula unit

```
data_TlVZn2
_chemical_formula_sum 'Tl4 V4 Zn8'
_cell_length_a 7.4495
_cell_length_b 7.4495
_cell_length_c 5.5801
_cell_angle_alpha 90.00
_cell_angle_beta 90.00
_cell_angle_gamma 90.00
_symmetry_space_group_name_H-M 'P 1'
_symmetry_Int_Tables_number 1
_symmetry_space_group_name_Hall 'P 1'
loop_
_atom_site_label
_atom_site_type_symbol
_atom_site_fract_x
_atom_site_fract_y
_atom_site_fract_z
Tl1 Tl 0.0000 0.0000 0.0000
Tl2 Tl 0.0000 0.5000 0.2500
Tl3 Tl 0.5000 0.0000 0.7500
Tl4 Tl 0.5000 0.5000 0.5000
V1 V 0.0000 0.0000 0.5000
V2 V 0.0000 0.5000 0.7500
V3 V 0.5000 0.0000 0.2500
V4 V 0.5000 0.5000 0.0000
Zn1 Zn 0.2322 0.2500 0.6250
Zn2 Zn 0.2500 0.7322 0.8750
Zn3 Zn 0.2500 0.7678 0.3750
Zn4 Zn 0.2678 0.2500 0.1250
Zn5 Zn 0.7322 0.7500 0.1250
Zn6 Zn 0.7500 0.2322 0.3750
Zn7 Zn 0.7500 0.2678 0.8750
Zn8 Zn 0.7678 0.7500 0.6250
```

Material: Tl3VZn
Method: DFT, PBE
State: optimized geometry

Properties
Formation energy from the elements ... 0.577 eV/atom
Space-group type ... Pm-3m, No. 221
E ... -2.92 eV/atom
Polymorph energy (0 for the lowest one) ... 0.0 meV per atom
Total magnetization ... 3.5 μB per formula unit

```
data_Tl3VZn
_chemical_formula_sum 'Tl3 V1 Zn1'
_cell_length_a 5.4417
_cell_length_b 5.4417
_cell_length_c 5.4417
_cell_angle_alpha 90.00
_cell_angle_beta 90.00
_cell_angle_gamma 90.00
_symmetry_space_group_name_H-M 'P 1'
_symmetry_Int_Tables_number 1
_symmetry_space_group_name_Hall 'P 1'
loop_
_atom_site_label
_atom_site_type_symbol
_atom_site_fract_x
_atom_site_fract_y
_atom_site_fract_z
Tl1 Tl 0.0000 0.0000 0.5000
Tl2 Tl 0.0000 0.5000 0.0000
Tl3 Tl 0.5000 0.0000 0.0000
V1 V 0.0000 0.0000 0.0000
Zn1 Zn 0.5000 0.5000 0.5000
```